Record 1
GGA-PBE Tb6NiI12, relaxed; energy relative to the elements, uncorrected = -918 meV/atom; magnetic moment = 0.0 μB/f.u.; final energy = -3.664 eV/atom; crystal system = trigonal
1.0
5.540 3.199 6.438
-5.540 3.199 6.438
0.000 -6.397 6.438
Tb Ni I
6 1 12
direct
0.281 0.281 0.685
0.281 0.685 0.281
0.315 0.719 0.719
0.685 0.281 0.281
0.719 0.315 0.719
0.719 0.719 0.315
0.500 0.500 0.500
0.054 0.054 0.672
0.054 0.672 0.054
0.078 0.606 0.606
0.328 0.946 0.946
0.394 0.394 0.922
0.394 0.922 0.394
0.606 0.078 0.606
0.606 0.606 0.078
0.672 0.054 0.054
0.922 0.394 0.394
0.946 0.328 0.946
0.946 0.946 0.328

Record 2
GGA-PBE Tb3NiI3, relaxed; energy relative to the elements, uncorrected = -947 meV/atom; magnetic moment = 0.0 μB/f.u.; final energy = -4.421 eV/atom; crystal system = monoclinic
1.0
9.050 0.000 0.000
0.000 4.080 0.000
-0.478 0.000 12.250
Tb Ni I
6 2 6
direct
0.099 0.250 0.385
0.112 0.250 0.832
0.295 0.750 0.617
0.705 0.250 0.383
0.888 0.750 0.168
0.901 0.750 0.615
0.101 0.250 0.616
0.899 0.750 0.384
0.141 0.250 0.112
0.374 0.750 0.873
0.394 0.750 0.368
0.606 0.250 0.632
0.626 0.250 0.127
0.859 0.750 0.888

Record 3
GGA-PBE Tb7NiI12, relaxed; energy relative to the elements, uncorrected = -1204 meV/atom; magnetic moment = 0.5 μB/f.u.; final energy = -4.044 eV/atom; crystal system = trigonal
1.0
7.852 4.533 3.568
-7.852 4.533 3.568
0.000 -9.066 3.568
Tb Ni I
7 1 12
direct
0.000 0.000 0.000
0.203 0.400 0.471
0.400 0.471 0.203
0.471 0.203 0.400
0.529 0.797 0.600
0.600 0.529 0.797
0.797 0.600 0.529
0.500 0.500 0.500
0.030 0.343 0.110
0.110 0.030 0.343
0.180 0.725 0.574
0.275 0.426 0.820
0.343 0.110 0.030
0.426 0.820 0.275
0.574 0.180 0.725
0.657 0.890 0.970
0.725 0.574 0.180
0.820 0.275 0.426
0.890 0.970 0.657
0.970 0.657 0.890

Record 4
GGA-PBE Tc2NiI, relaxed; energy relative to the elements, uncorrected = 753 meV/atom; magnetic moment = 0.0 μB/f.u.; energy relative to the lowest polymorph listed for this composition = 0.000 eV per formula unit; final energy = -6.263 eV/atom; crystal system = cubic
1.0
0.000 3.120 3.120
3.120 0.000 3.120
3.120 3.120 0.000
Tc Ni I
2 1 1
direct
0.250 0.250 0.250
0.750 0.750 0.750
0.000 0.000 0.000
0.500 0.500 0.500

Record 5
GGA-PBE Tc3NiI, relaxed; energy relative to the elements, uncorrected = 2349 meV/atom; magnetic moment = 0.0 μB/f.u.; energy relative to the lowest polymorph listed for this composition = 3.447 eV per formula unit; final energy = -5.337 eV/atom; crystal system = cubic
1.0
4.765 0.000 0.000
0.000 4.765 0.000
0.000 0.000 4.765
Tc Ni I
3 1 1
direct
0.000 0.000 0.500
0.000 0.500 0.000
0.500 0.000 0.000
0.500 0.500 0.500
0.000 0.000 0.000

Record 6
GGA-PBE Tc2NiI, relaxed; energy relative to the elements, uncorrected = 825 meV/atom; magnetic moment = 0.0 μB/f.u.; energy relative to the lowest polymorph listed for this composition = 0.290 eV per formula unit; final energy = -6.191 eV/atom; crystal system = tetragonal
1.0
-1.894 1.894 9.665
1.894 -1.894 9.665
1.894 1.894 -9.665
Tc Ni I
4 2 2
direct
0.063 0.625 0.938
0.375 0.313 0.438
0.687 0.125 0.062
0.875 0.937 0.562
0.000 0.000 0.000
0.750 0.250 0.500
0.250 0.750 0.500
0.500 0.500 0.000